# 1
KCoRh3: optimized geometry, PBE.

Summary:
**Space group**: No. 221
**Crystal system**: cubic

a b c (Å): 4.621 4.621 4.621
angles (deg): 90.00 90.00 90.00
Fractional positions:
K 0.000 0.000 0.000
Co 0.500 0.500 0.500
Rh 0.000 0.500 0.500
Rh 0.500 0.000 0.500
Rh 0.500 0.500 0.000

***

# 2
LiAl4Tc: optimized geometry, PBE.

Summary:
**Space group**: No. 12
**Crystal system**: monoclinic

a b c (Å): 4.898 4.898 6.221
angles (deg): 108.20 108.20 39.07
Fractional positions:
Li 0.000 0.000 0.000
Al 0.336 0.336 0.662
Al 0.345 0.345 0.175
Al 0.655 0.655 0.825
Al 0.664 0.664 0.338
Tc 0.000 0.000 0.500

***

# 3
CaLa2Tl4: optimized geometry, PBE.

Summary:
**Space group**: No. 166
**Crystal system**: trigonal

a b c (Å): 9.526 9.526 9.526
angles (deg): 33.32 33.32 33.32
Fractional positions:
Ca 0.000 0.000 0.000
La 0.247 0.247 0.247
La 0.753 0.753 0.753
Tl 0.126 0.126 0.126
Tl 0.380 0.380 0.380
Tl 0.620 0.620 0.620
Tl 0.874 0.874 0.874

***

| no. | DFT formation energy (eV/atom) | VASP energy (eV for the cell shown) |
| --- | --- | --- |
| 1 | 0.89 | -25.80 |
| 2 | -0.26 | -28.83 |
| 3 | -0.29 | -23.35 |